No. 1
Entry from the Alexandria database: an optimized crystal structure of MgTl2Pb (PBEsol).

Cell and atoms, written as extended XYZ:
```
4
Lattice="3.3942 0.0000 -0.1020 0.0000 5.1735 0.0000 -1.3589 0.0000 6.2260" Properties=species:S:1:pos:R:3 pbc="T T T"
Tl 1.2532 0.0000 4.6594
Pb -0.6795 2.5867 3.1130
Mg 1.6971 2.5867 -0.0510
Tl 0.7821 0.0000 1.4646
```

Output
Space-group type: No. 10
Formation energy, eV/f.u.: 0.0
Final energy, eV/atom: -2.75

=====

No. 2
Entry from the Alexandria database: an optimized crystal structure of MgTlPb (PBEsol).

Cell and atoms, written as extended XYZ:
```
3
Lattice="-0.1852 3.1221 1.3020 -3.0404 -1.7944 3.8703 5.2063 0.0685 0.5764" Properties=species:S:1:pos:R:3 pbc="T T T"
Mg -0.0160 0.2697 0.1125
Pb 2.3321 1.5597 2.5552
Tl -0.3354 -0.4332 3.0810
```

Output
Space-group type: No. 156
Formation energy, eV/f.u.: 0.0
ΔE to the lowest computed polymorph, kJ/mol of formula units: 11.7
Final energy, eV/atom: -2.78

=====

No. 3
Entry from the Alexandria database: an optimized crystal structure of MgTlPb (PBEsol).

Cell and atoms, written as extended XYZ:
```
3
Lattice="3.4469 0.0000 0.0000 0.0000 4.4968 0.0000 -1.7235 -2.2484 5.1102" Properties=species:S:1:pos:R:3 pbc="T T T"
Mg 1.7235 2.2484 5.0984
Pb 1.7235 2.2484 1.6597
Tl 0.0000 0.0000 3.4622
```

Output
Space-group type: No. 44
Formation energy, eV/f.u.: -0.1
ΔE to the lowest computed polymorph, kJ/mol of formula units: 1.4
Final energy, eV/atom: -2.82

=====

No. 4
Entry from the Alexandria database: an optimized crystal structure of MgTl2Pb (PBEsol).

Cell and atoms, written as extended XYZ:
```
4
Lattice="-0.3453 -1.5257 -4.5607 2.8342 -3.7586 1.0428 -4.9633 0.1476 2.8750" Properties=species:S:1:pos:R:3 pbc="T T T"
Mg 1.2444 -2.6421 -1.7589
Tl -2.0321 -2.0101 -1.7223
Pb -0.4424 -3.1266 1.0794
Tl 0.0000 0.0000 0.0000
```

Output
Space-group type: No. 119
Formation energy, eV/f.u.: 0.0
Final energy, eV/atom: -2.76

=====

Please write out number 3 again, unchanged.
Entry from the Alexandria database: an optimized crystal structure of MgTlPb (PBEsol).

Cell and atoms, written as extended XYZ:
```
3
Lattice="3.4469 0.0000 0.0000 0.0000 4.4968 0.0000 -1.7235 -2.2484 5.1102" Properties=species:S:1:pos:R:3 pbc="T T T"
Mg 1.7235 2.2484 5.0984
Pb 1.7235 2.2484 1.6597
Tl 0.0000 0.0000 3.4622
```

Output
Space-group type: No. 44
Formation energy, eV/f.u.: -0.1
ΔE to the lowest computed polymorph, kJ/mol of formula units: 1.4
Final energy, eV/atom: -2.82

=====

What did the fourth record say?
Entry from the Alexandria database: an optimized crystal structure of MgTl2Pb (PBEsol).

Cell and atoms, written as extended XYZ:
```
4
Lattice="-0.3453 -1.5257 -4.5607 2.8342 -3.7586 1.0428 -4.9633 0.1476 2.8750" Properties=species:S:1:pos:R:3 pbc="T T T"
Mg 1.2444 -2.6421 -1.7589
Tl -2.0321 -2.0101 -1.7223
Pb -0.4424 -3.1266 1.0794
Tl 0.0000 0.0000 0.0000
```

Output
Space-group type: No. 119
Formation energy, eV/f.u.: 0.0
Final energy, eV/atom: -2.76

=====

> Which formula does entry 2 have?

MgTlPb